## Ac3Al2Pb (PBE-GGA)

Data for a relaxed Ac3Al2Pb crystal.

a = 4.5735 Å, b = 9.6905 Å, c = 9.1409 Å
α = 90.00°, β = 90.00°, γ = 90.00°
Element x y z (fractional)
Ac (0.0000, 0.0861, 0.0000)
Ac (0.0000, 0.9139, 0.5000)
Ac (0.5000, 0.2211, 0.3605)
Ac (0.5000, 0.4023, 0.8666)
Ac (0.5000, 0.5977, 0.3666)
Ac (0.5000, 0.7789, 0.8605)
Al (0.0000, 0.2426, 0.6471)
Al (0.0000, 0.7574, 0.1471)
Al (0.5000, 0.0957, 0.7118)
Al (0.5000, 0.9043, 0.2118)
Pb (0.0000, 0.4298, 0.1504)
Pb (0.0000, 0.5702, 0.6504)

Output
Total magnetization: 0.0 μB per cell
DOS at the Fermi energy: 10.51 states/eV/cell
Total energy: -4.25 eV per atom

## AcAlPb (PBE-GGA)

Data for a relaxed AcAlPb crystal.

a = 4.6747 Å, b = 4.6747 Å, c = 4.9179 Å
α = 90.00°, β = 90.00°, γ = 120.00°
Element x y z (fractional)
Ac (0.0000, 0.0000, 0.0000)
Al (0.3333, 0.6667, 0.3882)
Pb (0.6667, 0.3333, 0.5579)

Output
Total magnetization: 0.0 μB per cell
DOS at the Fermi energy: 0.31 states/eV/cell
Relative energy among the computed polymorphs: 0.02 eV/f.u.
Total energy: -4.23 eV per atom

## Ac4AlPb3 (PBE-GGA)

Data for a relaxed Ac4AlPb3 crystal.

a = 4.6294 Å, b = 5.0177 Å, c = 12.5000 Å
α = 90.00°, β = 90.00°, γ = 90.00°
Element x y z (fractional)
Ac (0.0000, 0.0000, 0.0000)
Ac (0.0000, 0.5000, 0.4855)
Ac (0.5000, 0.0000, 0.7159)
Ac (0.5000, 0.5000, 0.2167)
Al (0.0000, 0.0000, 0.2767)
Pb (0.0000, 0.5000, 0.7628)
Pb (0.5000, 0.0000, 0.4293)
Pb (0.5000, 0.5000, 0.9402)

Output
Total magnetization: 0.2 μB per cell
DOS at the Fermi energy: 7.74 states/eV/cell
Total energy: -4.39 eV per atom

## AcAl2Pb (PBE-GGA)

Data for a relaxed AcAl2Pb crystal.

a = 3.9227 Å, b = 3.9227 Å, c = 7.1594 Å
α = 90.00°, β = 90.00°, γ = 90.00°
Element x y z (fractional)
Ac (0.0000, 0.0000, 0.0000)
Al (0.5000, 0.5000, 0.3049)
Al (0.5000, 0.5000, 0.6951)
Pb (0.0000, 0.0000, 0.5000)

Output
Total magnetization: 0.0 μB per cell
DOS at the Fermi energy: 2.81 states/eV/cell
Total energy: -3.90 eV per atom

## Ac4Al3Pb (PBE-GGA)

Data for a relaxed Ac4Al3Pb crystal.

a = 4.4830 Å, b = 4.9103 Å, c = 12.2743 Å
α = 90.00°, β = 90.00°, γ = 90.00°
Element x y z (fractional)
Ac (0.0000, 0.0000, 0.0000)
Ac (0.0000, 0.5000, 0.4823)
Ac (0.5000, 0.0000, 0.7045)
Ac (0.5000, 0.5000, 0.2090)
Al (0.0000, 0.0000, 0.2867)
Al (0.5000, 0.0000, 0.4137)
Al (0.5000, 0.5000, 0.9260)
Pb (0.0000, 0.5000, 0.7769)

Output
Total magnetization: 0.0 μB per cell
DOS at the Fermi energy: 7.54 states/eV/cell
Total energy: -4.28 eV per atom

## Ac12Al2Pb5 (PBE-GGA)

Data for a relaxed Ac12Al2Pb5 crystal.

a = 10.5552 Å, b = 10.5552 Å, c = 10.6463 Å
α = 103.38°, β = 103.38°, γ = 45.20°
Element x y z (fractional)
Ac (0.0045, 0.0045, 0.2841)
Ac (0.0777, 0.5907, 0.9078)
Ac (0.1067, 0.5936, 0.4276)
Ac (0.4064, 0.8933, 0.5724)
Ac (0.4093, 0.9223, 0.0922)
Ac (0.4888, 0.4888, 0.1759)
Ac (0.5112, 0.5112, 0.8241)
Ac (0.5907, 0.0777, 0.9078)
Ac (0.5936, 0.1067, 0.4276)
Ac (0.8933, 0.4064, 0.5724)
Ac (0.9223, 0.4093, 0.0922)
Ac (0.9955, 0.9955, 0.7159)
Al (0.1616, 0.8384, 0.0000)
Al (0.8384, 0.1616, 0.0000)
Pb (0.1829, 0.1829, 0.8338)
Pb (0.1996, 0.1996, 0.3630)
Pb (0.5000, 0.5000, 0.5000)
Pb (0.8004, 0.8004, 0.6370)
Pb (0.8171, 0.8171, 0.1662)

Output
Total magnetization: 0.0 μB per cell
DOS at the Fermi energy: 24.08 states/eV/cell
Total energy: -4.18 eV per atom

## Ac3Al2Pb2 (PBE-GGA)

Data for a relaxed Ac3Al2Pb2 crystal.

a = 6.5801 Å, b = 6.5801 Å, c = 8.8846 Å
α = 113.73°, β = 113.73°, γ = 41.76°
Element x y z (fractional)
Ac (0.0000, 0.0000, 0.0000)
Ac (0.1761, 0.1761, 0.6412)
Ac (0.8239, 0.8239, 0.3588)
Al (0.3006, 0.3006, 0.0623)
Al (0.6994, 0.6994, 0.9377)
Pb (0.4643, 0.4643, 0.6809)
Pb (0.5357, 0.5357, 0.3191)

Output
Total magnetization: 0.0 μB per cell
DOS at the Fermi energy: 5.24 states/eV/cell
Total energy: -4.35 eV per atom

## Ac6AlPb2 (PBE-GGA)

Data for a relaxed Ac6AlPb2 crystal.

a = 8.9970 Å, b = 8.9970 Å, c = 4.8914 Å
α = 90.00°, β = 90.00°, γ = 120.00°
Element x y z (fractional)
Ac (0.0000, 0.4133, 0.0000)
Ac (0.0000, 0.7552, 0.5000)
Ac (0.2448, 0.2448, 0.5000)
Ac (0.4133, 0.0000, 0.0000)
Ac (0.5867, 0.5867, 0.0000)
Ac (0.7552, 0.0000, 0.5000)
Al (0.0000, 0.0000, 0.0000)
Pb (0.3333, 0.6667, 0.5000)
Pb (0.6667, 0.3333, 0.5000)

Output
Total magnetization: 0.0 μB per cell
DOS at the Fermi energy: 13.81 states/eV/cell
Total energy: -4.30 eV per atom

## AcAl2Pb (PBE-GGA)

Data for a relaxed AcAl2Pb crystal.

a = 4.8016 Å, b = 4.8016 Å, c = 4.7102 Å
α = 90.00°, β = 90.00°, γ = 90.00°
Element x y z (fractional)
Ac (0.0000, 0.0000, 0.0000)
Al (0.0000, 0.5000, 0.5000)
Al (0.5000, 0.0000, 0.5000)
Pb (0.5000, 0.5000, 0.0000)

Output
Total magnetization: 0.0 μB per cell
DOS at the Fermi energy: 1.69 states/eV/cell
Total energy: -4.00 eV per atom

## Ac5AlPb3 (PBE-GGA)

Data for a relaxed Ac5AlPb3 crystal.

a = 10.2512 Å, b = 10.2512 Å, c = 7.2696 Å
α = 90.00°, β = 90.00°, γ = 120.00°
Element x y z (fractional)
Ac (0.0000, 0.2642, 0.2500)
Ac (0.0000, 0.7358, 0.7500)
Ac (0.2642, 0.0000, 0.2500)
Ac (0.2642, 0.2642, 0.7500)
Ac (0.3333, 0.6667, 0.0000)
Ac (0.3333, 0.6667, 0.5000)
Ac (0.6667, 0.3333, 0.0000)
Ac (0.6667, 0.3333, 0.5000)
Ac (0.7358, 0.0000, 0.7500)
Ac (0.7358, 0.7358, 0.2500)
Al (0.0000, 0.0000, 0.0000)
Al (0.0000, 0.0000, 0.5000)
Pb (0.0000, 0.3818, 0.7500)
Pb (0.0000, 0.6182, 0.2500)
Pb (0.3818, 0.0000, 0.7500)
Pb (0.3818, 0.3818, 0.2500)
Pb (0.6182, 0.0000, 0.2500)
Pb (0.6182, 0.6182, 0.7500)

Output
Total magnetization: 0.0 μB per cell
DOS at the Fermi energy: 23.89 states/eV/cell
Total energy: -4.36 eV per atom

## Ac5Al2Pb2 (PBE-GGA)

Data for a relaxed Ac5Al2Pb2 crystal.

a = 9.7372 Å, b = 9.7372 Å, c = 8.7229 Å
α = 90.00°, β = 90.00°, γ = 53.49°
Element x y z (fractional)
Ac (0.0000, 0.0000, 0.0000)
Ac (0.0400, 0.6858, 0.6725)
Ac (0.1858, 0.5400, 0.1725)
Ac (0.3142, 0.9600, 0.6725)
Ac (0.4600, 0.8142, 0.1725)
Ac (0.5000, 0.5000, 0.5000)
Ac (0.5400, 0.1858, 0.8275)
Ac (0.6858, 0.0400, 0.3275)
Ac (0.8142, 0.4600, 0.8275)
Ac (0.9600, 0.3142, 0.3275)
Al (0.1100, 0.8900, 0.3887)
Al (0.3900, 0.6100, 0.8887)
Al (0.6100, 0.3900, 0.1113)
Al (0.8900, 0.1100, 0.6113)
Pb (0.2081, 0.2081, 0.0000)
Pb (0.2919, 0.2919, 0.5000)
Pb (0.7081, 0.7081, 0.5000)
Pb (0.7919, 0.7919, 0.0000)

Output
Total magnetization: 0.0 μB per cell
DOS at the Fermi energy: 19.73 states/eV/cell
Total energy: -4.31 eV per atom

## AcAlPb (PBE-GGA)

Data for a relaxed AcAlPb crystal.

a = 6.8335 Å, b = 6.6427 Å, c = 8.4533 Å
α = 90.00°, β = 104.70°, γ = 90.00°
Element x y z (fractional)
Ac (0.2393, 0.1523, 0.4825)
Ac (0.2393, 0.3477, 0.9825)
Ac (0.7607, 0.6523, 0.0175)
Ac (0.7607, 0.8477, 0.5175)
Al (0.4118, 0.5977, 0.6740)
Al (0.4118, 0.9023, 0.1740)
Al (0.5882, 0.0977, 0.8260)
Al (0.5882, 0.4023, 0.3260)
Pb (0.1852, 0.6452, 0.3456)
Pb (0.1852, 0.8548, 0.8456)
Pb (0.8148, 0.1452, 0.1544)
Pb (0.8148, 0.3548, 0.6544)

Output
Total magnetization: 0.0 μB per cell
DOS at the Fermi energy: 6.24 states/eV/cell
Relative energy among the computed polymorphs: 0.41 eV/f.u.
Total energy: -4.10 eV per atom

Respective ΔH_f (0 K) values: -326.5 -375.5 -473.8 -70.7 -359.1 -210.9 -462.9 -326.1 -170.5 -427.4 -370.1 -244.2 meV/atom.